Entry 1:
{"formula": "AcTmSn", "functional": "PBE", "state": "relaxed", "spacegroup": "I4/mmm (139)", "crystal_system": "tetragonal", "formation_enthalpy_0k_ev_per_atom": -0.60, "cell": [[4.622, 0.181, -1.240], [-0.512, 4.597, -1.240], [0.053, 0.062, 9.453]], "species": ["Ac", "Tm", "Sn", "Sn", "Ac", "Tm"], "fractional_positions": [[0.324, 0.324, 0.649], [0.000, 0.500, 0.000], [0.123, 0.123, 0.245], [0.877, 0.877, 0.755], [0.676, 0.676, 0.351], [0.500, 0.000, 0.000]]}


Entry 2:
{"formula": "TiTcN2", "functional": "PBE", "state": "relaxed", "spacegroup": "R3m (160)", "crystal_system": "trigonal", "raw_formation_energy_ev_per_atom": -0.598, "cell": [[2.961, 0.000, 0.000], [1.481, 2.564, 0.000], [1.481, 0.855, 5.314]], "species": ["Ti", "N", "N", "Tc"], "fractional_positions": [[0.663, 0.663, 0.010], [0.262, 0.262, 0.214], [0.084, 0.084, 0.747], [0.490, 0.490, 0.529]]}


Entry 3:
{"formula": "CeDy2Th", "functional": "PBE", "state": "relaxed", "spacegroup": "P2_1/m (11)", "crystal_system": "monoclinic", "formation_enthalpy_0k_ev_per_atom": 0.23, "cell": [[4.772, 0.000, -0.026], [0.000, 4.763, 0.000], [-2.355, 0.000, 11.093]], "species": ["Dy", "Th", "Dy", "Th", "Dy", "Dy", "Ce", "Ce"], "fractional_positions": [[0.062, 0.750, 0.123], [0.186, 0.250, 0.368], [0.938, 0.250, 0.877], [0.814, 0.750, 0.632], [0.562, 0.250, 0.121], [0.438, 0.750, 0.879], [0.687, 0.750, 0.369], [0.313, 0.250, 0.631]]}


Entry 4:
{"formula": "CuAsAu14", "functional": "PBE", "state": "relaxed", "spacegroup": "Amm2 (38)", "crystal_system": "orthorhombic", "formation_enthalpy_0k_ev_per_atom": 0.05, "cell": [[-0.784, -3.788, 4.387], [3.320, -1.612, -4.537], [7.725, 3.506, 4.408]], "species": ["Au", "Au", "Au", "Au", "Au", "Au", "Au", "Au", "As", "Au", "Au", "Au", "Au", "Au", "Au", "Cu"], "fractional_positions": [[0.876, 0.631, 0.742], [0.876, 0.124, 0.744], [0.703, 0.297, 0.000], [0.202, 0.798, 0.000], [0.876, 0.631, 0.258], [0.876, 0.124, 0.256], [0.054, 0.454, 0.500], [0.202, 0.294, 0.000], [0.551, 0.449, 0.500], [0.374, 0.626, 0.247], [0.546, 0.946, 0.500], [0.369, 0.124, 0.258], [0.374, 0.626, 0.753], [0.706, 0.798, 0.000], [0.369, 0.124, 0.742], [0.047, 0.953, 0.500]]}


Entry 5:
{"formula": "NdIn2Ag3", "functional": "PBE", "state": "relaxed", "spacegroup": "C2/m (12)", "crystal_system": "monoclinic", "formation_enthalpy_0k_ev_per_atom": -0.25, "cell": [[4.746, 0.000, 0.000], [-2.373, 9.737, 0.783], [0.000, -3.781, 5.549]], "species": ["In", "Ag", "Ag", "Nd", "Ag", "Ag", "In", "In", "Ag", "In", "Nd", "Ag"], "fractional_positions": [[0.515, 0.031, 0.238], [0.696, 0.391, 0.472], [0.369, 0.739, 0.234], [0.881, 0.762, 0.914], [0.069, 0.138, 0.483], [0.631, 0.261, 0.766], [0.231, 0.463, 0.801], [0.485, 0.969, 0.762], [0.931, 0.862, 0.517], [0.769, 0.537, 0.199], [0.119, 0.238, 0.086], [0.304, 0.609, 0.528]]}


Entry 6:
{"formula": "TcSbBr2", "functional": "PBE", "state": "relaxed", "spacegroup": "Cmmm (65)", "crystal_system": "orthorhombic", "raw_formation_energy_ev_per_atom": 0.427, "cell": [[-3.367, -0.447, -0.783], [2.670, -1.863, -1.244], [-1.102, -7.671, 9.125]], "species": ["Sb", "Tc", "Br", "Br"], "fractional_positions": [[0.500, 0.500, 0.250], [0.500, 0.500, 0.750], [0.000, 0.000, 0.916], [0.000, 0.000, 0.584]]}